Tb5NdHo2Tm | the Alexandria database | PBE-GGA | relaxed; theoretical density = 8.140 g cm⁻³; spin magnetization = 0.00 Bohr magnetons per cell; energy relative to the elements = 0.16 eV/atom; N(E_F) = 1.614 states/eV/atom; crystal system = orthorhombic
1.0
2.8057 -9.9156 0.0000
2.8057 9.9156 0.0000
0.0000 0.0000 10.5420
Tb Nd Ho Tm
10 2 4 2
direct
0.0180 0.9820 0.5000
0.2809 0.7191 0.7911
0.2982 0.7018 0.1859
0.3855 0.6145 0.4996
0.4793 0.5207 0.2160
0.5207 0.4793 0.7160
0.6145 0.3855 0.9996
0.7018 0.2982 0.6859
0.7191 0.2809 0.2911
0.9820 0.0180 0.0000
0.4150 0.5850 0.9308
0.5850 0.4150 0.4308
0.1117 0.8883 0.2124
0.1139 0.8861 0.7952
0.8861 0.1139 0.2952
0.8883 0.1117 0.7124
0.1993 0.8007 0.4894
0.8007 0.1993 0.9894